# Rb5Tl4Te4

A geometry-optimized Rb5Tl4Te4 structure (PBE, the Alexandria database).

Computed properties:
formation energy from raw total energies: -0.630 eV/atom
uncorrected energy: -2.6968 eV/atom
magnetic moment: 0.000 μB/atom

Lattice parameters (Å, degrees): 14.381 14.381 5.344 90.00 90.00 90.00
Space group I4/m (No. 87)
Asymmetric unit:
Rb 0.000 0.000 0.000 x2
Rb 0.133 0.211 0.500 x8
Tl 0.071 0.599 0.500 x8
Te 0.057 0.750 0.000 x8

***

# RbTl2Te4

A geometry-optimized RbTl2Te4 structure (PBE, the Alexandria database).

Computed properties:
formation energy from raw total energies: -0.354 eV/atom
uncorrected energy: -2.9637 eV/atom
magnetic moment: 0.000 μB/atom

Lattice parameters (Å, degrees): 17.818 6.754 9.829 90.00 105.74 90.00
Space group C2/c (No. 15)
Asymmetric unit:
Rb 0.000 0.240 0.250 x4
Tl 0.218 0.003 0.101 x8
Te 0.110 0.245 0.802 x8
Te 0.126 0.490 0.060 x8

***

# RbTl2Te2

A geometry-optimized RbTl2Te2 structure (PBE, the Alexandria database).

Computed properties:
polymorph energy (0 for the lowest one): 21 meV/atom
formation energy from raw total energies: -0.451 eV/atom
uncorrected energy: -2.8472 eV/atom
magnetic moment: 0.000 μB/atom

Lattice parameters (Å, degrees): 4.6430 4.6430 31.9829 90.00 90.00 120.00
Space group R-3m (No. 166, hexagonal axes)
Asymmetric unit:
Rb 0.0000 0.0000 0.0000 x3
Tl 0.0000 0.0000 0.2039 x6
Te 0.0000 0.0000 0.4130 x6